1.
First-principles (PBE) data for an optimized crystal structure of CdNiBIr2, as listed in the Alexandria database.

Unit cell a=4.945 b=4.945 c=3.955 alpha=90.00 beta=90.00 gamma=90.00
Space group P4/mmm (No. 123)
Unique sites:
Cd: 0.000 0.000 0.000 x1
Ni: 0.500 0.500 0.500 x1
B: 0.000 0.000 0.500 x1
Ir: 0.000 0.500 0.000 x2

## Properties
As for the relative energy among the computed polymorphs: 2494 meV per atom. The formation energy is 12.33 eV/f.u.

2.
First-principles (PBE) data for an optimized crystal structure of CdNi2BIr, as listed in the Alexandria database.

Unit cell a=3.982 b=3.982 c=4.073 alpha=90.00 beta=90.00 gamma=90.00
Space group P4/mmm (No. 123)
Unique sites:
Cd: 0.000 0.000 0.000 x1
Ni: 0.000 0.500 0.500 x2
B: 0.500 0.500 0.500 x1
Ir: 0.500 0.500 0.000 x1

## Properties
The formation energy is -0.57 eV/f.u.

3.
First-principles (PBE) data for an optimized crystal structure of CdB2IrO8, as listed in the Alexandria database.

Unit cell a=4.9694 b=4.9694 c=6.4820 alpha=90.00 beta=90.00 gamma=120.00
Space group P-3m1 (No. 164)
Unique sites:
Cd: 0.0000 0.0000 0.0000 x1
B: 0.3333 0.6667 0.2490 x2
Ir: 0.0000 0.0000 0.5000 x1
O: 0.1712 0.3425 0.3120 x6
O: 0.3333 0.6667 0.0239 x2

## Properties
The calculation puts the formation energy without anion corrections at -1.0407 eV per atom.

4.
First-principles (PBE) data for an optimized crystal structure of CdBIr2Pd, as listed in the Alexandria database.

Unit cell a=4.950 b=4.950 c=3.855 alpha=90.00 beta=90.00 gamma=90.00
Space group P4/mmm (No. 123)
Unique sites:
Cd: 0.000 0.000 0.000 x1
B: 0.500 0.500 0.000 x1
Ir: 0.000 0.500 0.500 x2
Pd: 0.500 0.500 0.500 x1

## Properties
The formation energy is 7.67 eV/f.u.

5.
First-principles (PBE) data for an optimized crystal structure of CdBIrPd2, as listed in the Alexandria database.

Unit cell a=4.242 b=4.242 c=4.123 alpha=90.00 beta=90.00 gamma=90.00
Space group P4/mmm (No. 123)
Unique sites:
Cd: 0.000 0.000 0.000 x1
B: 0.500 0.500 0.500 x1
Ir: 0.500 0.500 0.000 x1
Pd: 0.000 0.500 0.500 x2

## Properties
The formation energy is -1.11 eV/f.u.

6.
First-principles (PBE) data for an optimized crystal structure of Pm3Cd2BIr3, as listed in the Alexandria database.

Unit cell a=7.6886 b=7.6886 c=3.5743 alpha=90.00 beta=90.00 gamma=120.00
Space group P-62m (No. 189)
Unique sites:
Pm: 0.0000 0.6417 0.0000 x3
Cd: 0.3333 0.6667 0.5000 x2
B: 0.0000 0.0000 0.0000 x1
Ir: 0.0000 0.2097 0.5000 x3

## Properties
The formation energy is -2.76 eV/f.u.

7.
First-principles (PBE) data for an optimized crystal structure of CdBIrPt2, as listed in the Alexandria database.

Unit cell a=4.257 b=4.257 c=4.150 alpha=90.00 beta=90.00 gamma=90.00
Space group P4/mmm (No. 123)
Unique sites:
Cd: 0.000 0.000 0.000 x1
B: 0.500 0.500 0.500 x1
Ir: 0.500 0.500 0.000 x1
Pt: 0.000 0.500 0.500 x2

## Properties
The formation energy is -0.88 eV/f.u.

8.
First-principles (PBE) data for an optimized crystal structure of CdBIrRh2, as listed in the Alexandria database.

Unit cell a=4.160 b=4.160 c=4.145 alpha=90.00 beta=90.00 gamma=90.00
Space group P4/mmm (No. 123)
Unique sites:
Cd: 0.000 0.000 0.000 x1
B: 0.500 0.500 0.500 x1
Ir: 0.500 0.500 0.000 x1
Rh: 0.000 0.500 0.500 x2

## Properties
The formation energy is -0.65 eV/f.u.

9.
First-principles (PBE) data for an optimized crystal structure of Cd2SiB2Ir5, as listed in the Alexandria database.

Unit cell a=9.644 b=9.644 c=2.909 alpha=90.00 beta=90.00 gamma=90.00
Space group P4/mbm (No. 127)
Unique sites:
Cd: 0.177 0.323 0.000 x4
Si: 0.000 0.000 0.000 x2
B: 0.125 0.625 0.000 x4
Ir: 0.000 0.500 0.500 x2
Ir: 0.070 0.790 0.500 x8

## Properties
The calculation puts the formation energy without anion corrections at -0.2232 eV per atom.

10.
First-principles (PBE) data for an optimized crystal structure of CdB2IrW, as listed in the Alexandria database.

Unit cell a=4.045 b=4.045 c=5.278 alpha=90.00 beta=90.00 gamma=90.00
Space group P4/mmm (No. 123)
Unique sites:
Cd: 0.000 0.000 0.000 x1
B: 0.000 0.500 0.500 x2
Ir: 0.000 0.000 0.500 x1
W: 0.500 0.500 0.000 x1

## Properties
The formation energy is 7.62 eV/f.u.

11.
First-principles (PBE) data for an optimized crystal structure of K4CdB2, as listed in the Alexandria database.

Unit cell a=6.584 b=6.584 c=14.435 alpha=90.00 beta=90.00 gamma=90.00
Space group I4/mmm (No. 139)
Unique sites:
K: 0.000 0.000 0.246 x4
K: 0.000 0.500 0.000 x4
Cd: 0.000 0.000 0.000 x2
B: 0.000 0.000 0.446 x4

## Properties
The formation energy is 4.61 eV/f.u.

12.
First-principles (PBE) data for an optimized crystal structure of K2CdB, as listed in the Alexandria database.

Unit cell a=8.009 b=8.009 c=8.009 alpha=90.00 beta=90.00 gamma=90.00
Space group Fm-3m (No. 225)
Unique sites:
K: 0.250 0.250 0.250 x8
Cd: 0.000 0.000 0.000 x4
B: 0.000 0.000 0.500 x4

## Properties
As for the relative energy among the computed polymorphs: 464 meV per atom. The formation energy is 3.94 eV/f.u.